1.
A plane-wave DFT calculation with PBE was carried out for a geometry-optimized Cs2Ag12Te7 structure.

SG ... P-3, No. 147
Formation energy from raw total energies ... -0.233 eV per atom

Cell lengths 11.8623, 11.8623, 4.8045 Å; angles 90.00, 90.00, 120.00 degrees
Atoms (fractional coordinates):
Cs (0.3333, 0.6667, 0.2699)
Cs (0.6667, 0.3333, 0.7301)
Ag (0.0655, 0.3631, 0.6849)
Ag (0.1004, 0.2375, 0.1757)
Ag (0.1371, 0.8996, 0.1757)
Ag (0.2375, 0.1371, 0.8243)
Ag (0.2977, 0.9345, 0.6849)
Ag (0.3631, 0.2977, 0.3151)
Ag (0.6369, 0.7023, 0.6849)
Ag (0.7023, 0.0655, 0.3151)
Ag (0.7625, 0.8629, 0.1757)
Ag (0.8629, 0.1004, 0.8243)
Ag (0.8996, 0.7625, 0.8243)
Ag (0.9345, 0.6369, 0.3151)
Te (0.0000, 0.0000, 0.5000)
Te (0.0885, 0.6786, 0.7901)
Te (0.3214, 0.4099, 0.7901)
Te (0.4099, 0.0885, 0.2099)
Te (0.5901, 0.9115, 0.7901)
Te (0.6786, 0.5901, 0.2099)
Te (0.9115, 0.3214, 0.2099)



2.
A plane-wave DFT calculation with PBE was carried out for a geometry-optimized Cs3Ag2Te2 structure.

SG ... Pbcm, No. 57
Formation energy from raw total energies ... -0.555 eV per atom

Cell lengths 6.9050, 11.1493, 15.0421 Å; angles 90.00, 90.00, 90.00 degrees
Atoms (fractional coordinates):
Cs (0.1199, 0.1421, 0.1041)
Cs (0.1199, 0.1421, 0.3959)
Cs (0.1199, 0.3579, 0.6041)
Cs (0.1199, 0.3579, 0.8959)
Cs (0.3206, 0.7139, 0.7500)
Cs (0.3206, 0.7861, 0.2500)
Cs (0.6794, 0.2139, 0.7500)
Cs (0.6794, 0.2861, 0.2500)
Cs (0.8801, 0.6421, 0.1041)
Cs (0.8801, 0.6421, 0.3959)
Cs (0.8801, 0.8579, 0.6041)
Cs (0.8801, 0.8579, 0.8959)
Ag (0.4008, 0.0069, 0.5804)
Ag (0.4008, 0.0069, 0.9196)
Ag (0.4008, 0.4931, 0.0804)
Ag (0.4008, 0.4931, 0.4196)
Ag (0.5992, 0.5069, 0.5804)
Ag (0.5992, 0.5069, 0.9196)
Ag (0.5992, 0.9931, 0.0804)
Ag (0.5992, 0.9931, 0.4196)
Te (0.2107, 0.0553, 0.7500)
Te (0.2107, 0.4447, 0.2500)
Te (0.3937, 0.7500, 0.0000)
Te (0.3937, 0.7500, 0.5000)
Te (0.6063, 0.2500, 0.0000)
Te (0.6063, 0.2500, 0.5000)
Te (0.7893, 0.5553, 0.7500)
Te (0.7893, 0.9447, 0.2500)



3.
A plane-wave DFT calculation with PBE was carried out for a geometry-optimized Cs3AgTe4 structure.

SG ... Immm, No. 71
Formation energy from raw total energies ... -0.694 eV per atom

Cell lengths 10.8529, 10.8529, 10.8529 Å; angles 147.37, 146.02, 47.82 degrees
Atoms (fractional coordinates):
Cs (0.0000, 0.0000, 0.0000)
Cs (0.3013, 0.8013, 0.5000)
Cs (0.6987, 0.1987, 0.5000)
Ag (0.5000, 0.5000, 0.0000)
Te (0.1255, 0.3851, 0.7404)
Te (0.3553, 0.6149, 0.7404)
Te (0.6447, 0.3851, 0.2596)
Te (0.8745, 0.6149, 0.2596)



4.
A plane-wave DFT calculation with PBE was carried out for a geometry-optimized Cs2AgTe structure.

SG ... I-42d, No. 122
Formation energy from raw total energies ... -0.100 eV per atom

Cell lengths 12.4226, 12.4226, 12.4226 Å; angles 150.75, 150.75, 41.84 degrees
Atoms (fractional coordinates):
Cs (0.1178, 0.6250, 0.9928)
Cs (0.3750, 0.3678, 0.4928)
Cs (0.6322, 0.1250, 0.0072)
Cs (0.8750, 0.8822, 0.5072)
Ag (0.0000, 0.0000, 0.0000)
Ag (0.7500, 0.2500, 0.5000)
Te (0.2500, 0.7500, 0.5000)
Te (0.5000, 0.5000, 0.0000)